Density functional theory data (PBE with a Hubbard U) for a geometry-optimized KTiCrF6 structure.

Summary:
Crystal system ... orthorhombic
DOS at the Fermi energy ... 0.317 states/eV per atom
SG ... No. 74
VASP energy ... -6.040 eV per atom

a = 7.193 Å, b = 7.765 Å, c = 7.544 Å
α = 120.97°, β = 118.47°, γ = 90.00°
Site moments in Bohr magnetons follow the coordinates.
Fractional coordinates of all 18 atoms:
K: 0.105 0.355 0.210  0.00
K: 0.895 0.645 0.790  0.00
Cr: 0.000 0.000 0.500  3.82
Cr: 0.500 0.000 0.500  3.82
F: 0.824 0.653 0.253  0.01
F: 0.429 0.100 0.253  0.01
F: 0.176 0.347 0.747  0.01
F: 0.429 0.653 0.253  0.01
F: 0.176 0.900 0.747  0.01
F: 0.571 0.900 0.747  0.01
F: 0.832 0.082 0.664  0.00
F: 0.571 0.347 0.747  0.01
F: 0.824 0.100 0.253  0.01
F: 0.531 0.281 0.062  -0.01
F: 0.469 0.719 0.938  -0.01
F: 0.168 0.918 0.336  0.00
Ti: 0.500 0.500 0.000  0.93
Ti: 0.500 0.000 0.000  0.93